Entry 1:
Compound: Mg3TiNi
Source: Alexandria
Functional: SCAN
Structure: single point on PBEsol structure

**Energy of formation**: 1558 meV per atom

The structure in POSCAR format:
```
Mg3TiNi
1.0
5.115 0.000 0.000
0.000 5.115 0.000
0.000 0.000 5.115
Mg Ti Ni
3 1 1
Direct
0.000 0.000 0.500 Mg
0.000 0.500 0.000 Mg
0.500 0.000 0.000 Mg
0.000 0.000 0.000 Ti
0.500 0.500 0.500 Ni
```

Entry 2:
Compound: LuB2Rh3
Source: Alexandria
Functional: SCAN
Structure: single point on PBEsol structure

**Energy of formation**: -840 meV per atom

The structure in POSCAR format:
```
LuB2Rh3
1.0
5.313 0.000 0.000
-2.656 4.601 0.000
0.000 0.000 3.092
Lu B Rh
1 2 3
Direct
0.000 0.000 0.000 Lu
0.333 0.667 0.000 B
0.667 0.333 0.000 B
0.000 0.500 0.500 Rh
0.500 0.000 0.500 Rh
0.500 0.500 0.500 Rh
```

Entry 3:
Compound: GeMo3Au
Source: Alexandria
Functional: SCAN
Structure: single point on PBEsol structure

**Energy of formation**: 1385 meV per atom

The structure in POSCAR format:
```
GeMo3Au
1.0
4.526 0.000 0.000
0.000 4.526 0.000
0.000 0.000 4.526
Ge Mo Au
1 3 1
Direct
0.000 0.000 0.000 Ge
0.000 0.000 0.500 Mo
0.000 0.500 0.000 Mo
0.500 0.000 0.000 Mo
0.500 0.500 0.500 Au
```

Entry 4:
Compound: Ti2CoMo
Source: Alexandria
Functional: SCAN
Structure: single point on PBEsol structure

**Energy of formation**: -247 meV per atom

The structure in POSCAR format:
```
Ti2CoMo
1.0
0.000 3.022 3.022
3.022 0.000 3.022
3.022 3.022 0.000
Ti Co Mo
2 1 1
Direct
0.250 0.250 0.250 Ti
0.750 0.750 0.750 Ti
0.000 0.000 0.000 Co
0.500 0.500 0.500 Mo
```

Entry 5:
Compound: Ti2MnZnO6
Source: Alexandria
Functional: SCAN
Structure: single point on PBEsol structure

**Formation energy without anion corrections**: -2.75 eV/atom

The structure in POSCAR format:
```
Ti2MnZnO6
1.0
2.541 1.467 4.647
-2.541 1.467 4.647
0.000 -2.934 4.647
Ti Mn Zn O
2 1 1 6
Direct
0.000 0.000 0.000 Ti
0.293 0.293 0.293 Ti
0.504 0.504 0.504 Mn
0.786 0.786 0.786 Zn
0.098 0.709 0.373 O
0.197 0.586 0.922 O
0.373 0.098 0.709 O
0.586 0.922 0.197 O
0.709 0.373 0.098 O
0.922 0.197 0.586 O
```

Entry 6:
Compound: MgPtRh2
Source: Alexandria
Functional: SCAN
Structure: single point on PBEsol structure

**Energy of formation**: -384 meV per atom

The structure in POSCAR format:
```
MgPtRh2
1.0
2.744 -3.786 0.000
2.744 3.786 0.000
0.000 0.000 2.754
Mg Pt Rh
1 1 2
Direct
0.000 0.000 0.000 Mg
0.500 0.500 0.000 Pt
0.000 0.500 0.500 Rh
0.500 0.000 0.500 Rh
```

Number 1: M_tot 4.277 μB/f.u., calculated volume 133.8 Å³/cell. Number 2: M_tot 0.000 μB/f.u., calculated volume 75.6 Å³/cell. Number 3: M_tot 0.000 μB/f.u., calculated volume 92.7 Å³/cell. Number 4: M_tot 0.002 μB/f.u., calculated volume 55.2 Å³/cell. Number 5: M_tot 5.000 μB/f.u., calculated volume 103.9 Å³/cell. Number 6: M_tot 0.001 μB/f.u., calculated volume 57.2 Å³/cell.